This record from Alexandria via LeMat-Bulk describes Pm2Nd2Y4Th after structural relaxation. The functional is PBE.

Geometry as POSCAR:
```
Pm2Nd2Y4Th
1.0
-3.599 0.210 -0.543
2.904 -3.682 -8.438
-1.444 -6.453 7.070
Pm Nd Y Th
2 2 4 1
Cartesian
-1.505 -4.581 -4.039
-0.633 -5.344 2.128
-0.694 -8.835 1.175
-1.445 -1.090 -3.086
-2.062 -6.455 -1.078
-0.077 -3.470 -0.833
-2.231 -2.140 1.718
0.092 -7.785 -3.629
0.000 0.000 0.000
```

- DFT total energy: -52.29 eV/cell